[1]
Computed, not measured: a relaxed ZrMoBr crystal at the PBE level of DFT.

Structure (CIF):
```
data_ZrMoBr
_chemical_formula_sum 'Zr1 Mo1 Br1'
_symmetry_space_group_name_H-M 'P 1'
_symmetry_Int_Tables_number 1
_symmetry_space_group_name_Hall 'P 1'
_cell_length_a 3.364
_cell_length_b 3.364
_cell_length_c 6.698
_cell_angle_alpha 90.00
_cell_angle_beta 90.00
_cell_angle_gamma 120.00
loop_
_atom_site_label
_atom_site_type_symbol
_atom_site_fract_x
_atom_site_fract_y
_atom_site_fract_z
Mo1 Mo 0.667 0.333 0.369
Br1 Br 0.000 0.000 0.975
Zr1 Zr 0.333 0.667 0.656
```

Values from the calculation:
For the size of the total moment, the calculation gives 0.99 μB per formula unit. Its calculated density is 6.8 g cm⁻³. For the raw total energy, the calculation gives -20.58 eV for the cell shown. The value obtained for the density of states at the Fermi level is 1.31 states/eV/atom.



[2]
Computed, not measured: a relaxed ZrMoBr crystal at the PBE level of DFT.

Structure (CIF):
```
data_ZrMoBr
_chemical_formula_sum 'Zr1 Mo1 Br1'
_symmetry_space_group_name_H-M 'P 1'
_symmetry_Int_Tables_number 1
_symmetry_space_group_name_Hall 'P 1'
_cell_length_a 7.289
_cell_length_b 7.025
_cell_length_c 3.167
_cell_angle_alpha 81.92
_cell_angle_beta 72.60
_cell_angle_gamma 25.48
loop_
_atom_site_label
_atom_site_type_symbol
_atom_site_fract_x
_atom_site_fract_y
_atom_site_fract_z
Mo1 Mo 0.681 0.681 0.319
Br1 Br 0.992 0.992 0.008
Zr1 Zr 0.327 0.327 0.673
```

Values from the calculation:
For the size of the total moment, the calculation gives 0.00 μB per formula unit. Its calculated density is 7.0 g cm⁻³. For the raw total energy, the calculation gives -20.40 eV for the cell shown. The value obtained for the density of states at the Fermi level is 1.15 states/eV/atom.



[3]
Computed, not measured: a relaxed ZrMoBr2 crystal at the PBE level of DFT.

Structure (CIF):
```
data_ZrMoBr2
_chemical_formula_sum 'Zr1 Mo1 Br2'
_symmetry_space_group_name_H-M 'P 1'
_symmetry_Int_Tables_number 1
_symmetry_space_group_name_Hall 'P 1'
_cell_length_a 3.283
_cell_length_b 3.283
_cell_length_c 9.964
_cell_angle_alpha 90.00
_cell_angle_beta 90.00
_cell_angle_gamma 114.74
loop_
_atom_site_label
_atom_site_type_symbol
_atom_site_fract_x
_atom_site_fract_y
_atom_site_fract_z
Mo1 Mo 0.000 0.000 0.515
Br1 Br 0.000 0.000 0.941
Br2 Br 0.500 0.500 0.315
Zr1 Zr 0.500 0.500 0.729
```

Values from the calculation:
For the size of the total moment, the calculation gives 0.00 μB per formula unit. Its calculated density is 5.9 g cm⁻³. For the raw total energy, the calculation gives -23.18 eV for the cell shown. The value obtained for the density of states at the Fermi level is 0.99 states/eV/atom.



[4]
Computed, not measured: a relaxed ZrMoBr2 crystal at the PBE level of DFT.

Structure (CIF):
```
data_ZrMoBr2
_chemical_formula_sum 'Zr1 Mo1 Br2'
_symmetry_space_group_name_H-M 'P 1'
_symmetry_Int_Tables_number 1
_symmetry_space_group_name_Hall 'P 1'
_cell_length_a 5.222
_cell_length_b 5.614
_cell_length_c 3.576
_cell_angle_alpha 70.44
_cell_angle_beta 92.02
_cell_angle_gamma 118.44
loop_
_atom_site_label
_atom_site_type_symbol
_atom_site_fract_x
_atom_site_fract_y
_atom_site_fract_z
Mo1 Mo 0.000 0.500 0.500
Br1 Br 0.000 0.000 0.000
Br2 Br 0.500 0.000 0.500
Zr1 Zr 0.500 0.500 0.000
```

Values from the calculation:
For the size of the total moment, the calculation gives 1.60 μB per formula unit. Its calculated density is 6.7 g cm⁻³. For the raw total energy, the calculation gives -21.56 eV for the cell shown. The value obtained for the density of states at the Fermi level is 0.79 states/eV/atom.



[5]
Computed, not measured: a relaxed ZrMoBr2 crystal at the PBE level of DFT.

Structure (CIF):
```
data_ZrMoBr2
_chemical_formula_sum 'Zr1 Mo1 Br2'
_symmetry_space_group_name_H-M 'P 1'
_symmetry_Int_Tables_number 1
_symmetry_space_group_name_Hall 'P 1'
_cell_length_a 4.921
_cell_length_b 4.921
_cell_length_c 4.921
_cell_angle_alpha 60.00
_cell_angle_beta 60.00
_cell_angle_gamma 60.00
loop_
_atom_site_label
_atom_site_type_symbol
_atom_site_fract_x
_atom_site_fract_y
_atom_site_fract_z
Mo1 Mo 0.500 0.500 0.500
Br1 Br 0.000 0.000 0.000
Br2 Br 0.250 0.250 0.250
Zr1 Zr 0.750 0.750 0.750
```

Values from the calculation:
For the size of the total moment, the calculation gives 1.75 μB per formula unit. Its calculated density is 6.8 g cm⁻³. For the raw total energy, the calculation gives -19.94 eV for the cell shown. The value obtained for the density of states at the Fermi level is 1.41 states/eV/atom.



[6]
Computed, not measured: a relaxed Zr3MoBr crystal at the PBE level of DFT.

Structure (CIF):
```
data_Zr3MoBr
_chemical_formula_sum 'Zr3 Mo1 Br1'
_symmetry_space_group_name_H-M 'P 1'
_symmetry_Int_Tables_number 1
_symmetry_space_group_name_Hall 'P 1'
_cell_length_a 5.126
_cell_length_b 5.126
_cell_length_c 5.126
_cell_angle_alpha 90.00
_cell_angle_beta 90.00
_cell_angle_gamma 90.00
loop_
_atom_site_label
_atom_site_type_symbol
_atom_site_fract_x
_atom_site_fract_y
_atom_site_fract_z
Mo1 Mo 0.000 0.000 0.000
Br1 Br 0.500 0.500 0.500
Zr1 Zr 0.000 0.500 0.000
Zr2 Zr 0.000 0.000 0.500
Zr3 Zr 0.500 0.000 0.000
```

Values from the calculation:
For the size of the total moment, the calculation gives 0.00 μB per formula unit. Its calculated density is 5.5 g cm⁻³. For the raw total energy, the calculation gives -34.65 eV for the cell shown. The value obtained for the density of states at the Fermi level is 1.96 states/eV/atom.



[7]
Computed, not measured: a relaxed ZrMoBr3 crystal at the PBE level of DFT.

Structure (CIF):
```
data_ZrMoBr3
_chemical_formula_sum 'Zr1 Mo1 Br3'
_symmetry_space_group_name_H-M 'P 1'
_symmetry_Int_Tables_number 1
_symmetry_space_group_name_Hall 'P 1'
_cell_length_a 5.363
_cell_length_b 5.363
_cell_length_c 5.363
_cell_angle_alpha 90.00
_cell_angle_beta 90.00
_cell_angle_gamma 90.00
loop_
_atom_site_label
_atom_site_type_symbol
_atom_site_fract_x
_atom_site_fract_y
_atom_site_fract_z
Mo1 Mo 0.500 0.500 0.500
Br1 Br 0.000 0.500 0.000
Br2 Br 0.000 0.000 0.500
Br3 Br 0.500 0.000 0.000
Zr1 Zr 0.000 0.000 0.000
```

Values from the calculation:
For the size of the total moment, the calculation gives 5.80 μB per formula unit. Its calculated density is 4.6 g cm⁻³. For the raw total energy, the calculation gives -23.13 eV for the cell shown. The value obtained for the density of states at the Fermi level is 0.72 states/eV/atom.



[8]
Computed, not measured: a relaxed ZrMoBr crystal at the PBE level of DFT.

Structure (CIF):
```
data_ZrMoBr
_chemical_formula_sum 'Zr1 Mo1 Br1'
_symmetry_space_group_name_H-M 'P 1'
_symmetry_Int_Tables_number 1
_symmetry_space_group_name_Hall 'P 1'
_cell_length_a 4.616
_cell_length_b 4.616
_cell_length_c 3.085
_cell_angle_alpha 90.00
_cell_angle_beta 90.00
_cell_angle_gamma 120.00
loop_
_atom_site_label
_atom_site_type_symbol
_atom_site_fract_x
_atom_site_fract_y
_atom_site_fract_z
Mo1 Mo 0.667 0.333 0.131
Br1 Br 0.000 0.000 0.144
Zr1 Zr 0.333 0.667 0.725
```

Values from the calculation:
For the size of the total moment, the calculation gives 0.00 μB per formula unit. Its calculated density is 7.8 g cm⁻³. For the raw total energy, the calculation gives -20.03 eV for the cell shown. The value obtained for the density of states at the Fermi level is 1.06 states/eV/atom.



[9]
Computed, not measured: a relaxed ZrMoBr2 crystal at the PBE level of DFT.

Structure (CIF):
```
data_ZrMoBr2
_chemical_formula_sum 'Zr2 Mo2 Br4'
_symmetry_space_group_name_H-M 'P 1'
_symmetry_Int_Tables_number 1
_symmetry_space_group_name_Hall 'P 1'
_cell_length_a 6.225
_cell_length_b 6.225
_cell_length_c 6.830
_cell_angle_alpha 62.89
_cell_angle_beta 62.89
_cell_angle_gamma 90.00
loop_
_atom_site_label
_atom_site_type_symbol
_atom_site_fract_x
_atom_site_fract_y
_atom_site_fract_z
Mo1 Mo 0.000 0.000 0.000
Mo2 Mo 0.750 0.250 0.500
Br1 Br 0.647 0.125 0.250
Br2 Br 0.103 0.625 0.250
Br3 Br 0.375 0.353 0.750
Br4 Br 0.875 0.897 0.750
Zr1 Zr 0.500 0.500 0.000
Zr2 Zr 0.250 0.750 0.500
```

Values from the calculation:
For the size of the total moment, the calculation gives 0.00 μB per formula unit. Its calculated density is 5.7 g cm⁻³. For the raw total energy, the calculation gives -39.39 eV for the cell shown. The value obtained for the density of states at the Fermi level is 1.63 states/eV/atom.



[10]
Computed, not measured: a relaxed ZrMoBr crystal at the PBE level of DFT.

Structure (CIF):
```
data_ZrMoBr
_chemical_formula_sum 'Zr1 Mo1 Br1'
_symmetry_space_group_name_H-M 'P 1'
_symmetry_Int_Tables_number 1
_symmetry_space_group_name_Hall 'P 1'
_cell_length_a 4.591
_cell_length_b 4.591
_cell_length_c 4.591
_cell_angle_alpha 60.00
_cell_angle_beta 60.00
_cell_angle_gamma 60.00
loop_
_atom_site_label
_atom_site_type_symbol
_atom_site_fract_x
_atom_site_fract_y
_atom_site_fract_z
Mo1 Mo 0.500 0.500 0.500
Br1 Br 0.000 0.000 0.000
Zr1 Zr 0.750 0.750 0.750
```

Values from the calculation:
For the size of the total moment, the calculation gives 0.00 μB per formula unit. Its calculated density is 6.5 g cm⁻³. For the raw total energy, the calculation gives -17.79 eV for the cell shown. The value obtained for the density of states at the Fermi level is 0.86 states/eV/atom.



[11]
Computed, not measured: a relaxed ZrMoBr2 crystal at the PBE level of DFT.

Structure (CIF):
```
data_ZrMoBr2
_chemical_formula_sum 'Zr1 Mo1 Br2'
_symmetry_space_group_name_H-M 'P 1'
_symmetry_Int_Tables_number 1
_symmetry_space_group_name_Hall 'P 1'
_cell_length_a 4.578
_cell_length_b 4.578
_cell_length_c 3.521
_cell_angle_alpha 90.00
_cell_angle_beta 90.00
_cell_angle_gamma 90.03
loop_
_atom_site_label
_atom_site_type_symbol
_atom_site_fract_x
_atom_site_fract_y
_atom_site_fract_z
Mo1 Mo 0.500 0.000 0.500
Br1 Br 0.000 0.000 0.000
Br2 Br 0.500 0.500 0.000
Zr1 Zr 0.000 0.500 0.500
```

Values from the calculation:
For the size of the total moment, the calculation gives 0.00 μB per formula unit. Its calculated density is 7.8 g cm⁻³. For the raw total energy, the calculation gives -20.94 eV for the cell shown. The value obtained for the density of states at the Fermi level is 1.05 states/eV/atom.



[12]
Computed, not measured: a relaxed ZrMoBr2 crystal at the PBE level of DFT.

Structure (CIF):
```
data_ZrMoBr2
_chemical_formula_sum 'Zr1 Mo1 Br2'
_symmetry_space_group_name_H-M 'P 1'
_symmetry_Int_Tables_number 1
_symmetry_space_group_name_Hall 'P 1'
_cell_length_a 3.137
_cell_length_b 5.901
_cell_length_c 4.591
_cell_angle_alpha 90.00
_cell_angle_beta 90.00
_cell_angle_gamma 90.00
loop_
_atom_site_label
_atom_site_type_symbol
_atom_site_fract_x
_atom_site_fract_y
_atom_site_fract_z
Mo1 Mo 0.500 0.000 0.500
Br1 Br 0.000 0.000 0.000
Br2 Br 0.500 0.500 0.000
Zr1 Zr 0.000 0.500 0.500
```

Values from the calculation:
For the size of the total moment, the calculation gives 1.56 μB per formula unit. Its calculated density is 6.8 g cm⁻³. For the raw total energy, the calculation gives -21.43 eV for the cell shown. The value obtained for the density of states at the Fermi level is 0.82 states/eV/atom.



[13]
Computed, not measured: a relaxed ZrMoBr2 crystal at the PBE level of DFT.

Structure (CIF):
```
data_ZrMoBr2
_chemical_formula_sum 'Zr1 Mo1 Br2'
_symmetry_space_group_name_H-M 'P 1'
_symmetry_Int_Tables_number 1
_symmetry_space_group_name_Hall 'P 1'
_cell_length_a 9.373
_cell_length_b 9.373
_cell_length_c 9.373
_cell_angle_alpha 19.85
_cell_angle_beta 19.85
_cell_angle_gamma 19.85
loop_
_atom_site_label
_atom_site_type_symbol
_atom_site_fract_x
_atom_site_fract_y
_atom_site_fract_z
Mo1 Mo 0.000 0.000 0.000
Br1 Br 0.908 0.908 0.908
Br2 Br 0.092 0.092 0.092
Zr1 Zr 0.500 0.500 0.500
```

Values from the calculation:
For the size of the total moment, the calculation gives 0.00 μB per formula unit. Its calculated density is 6.9 g cm⁻³. For the raw total energy, the calculation gives -22.34 eV for the cell shown. The value obtained for the density of states at the Fermi level is 1.08 states/eV/atom.



[14]
Computed, not measured: a relaxed ZrMoBr2 crystal at the PBE level of DFT.

Structure (CIF):
```
data_ZrMoBr2
_chemical_formula_sum 'Zr1 Mo1 Br2'
_symmetry_space_group_name_H-M 'P 1'
_symmetry_Int_Tables_number 1
_symmetry_space_group_name_Hall 'P 1'
_cell_length_a 7.068
_cell_length_b 7.068
_cell_length_c 7.068
_cell_angle_alpha 152.97
_cell_angle_beta 144.12
_cell_angle_gamma 45.49
loop_
_atom_site_label
_atom_site_type_symbol
_atom_site_fract_x
_atom_site_fract_y
_atom_site_fract_z
Mo1 Mo 0.484 0.484 0.000
Br1 Br 0.974 0.974 0.000
Br2 Br 0.716 0.216 0.500
Zr1 Zr 0.327 0.827 0.500
```

Values from the calculation:
For the size of the total moment, the calculation gives 0.01 μB per formula unit. Its calculated density is 6.1 g cm⁻³. For the raw total energy, the calculation gives -22.58 eV for the cell shown. The value obtained for the density of states at the Fermi level is 0.73 states/eV/atom.